No. 1
The following is a DFT calculation (PBE) of crystalline CaInRh2 at its relaxed geometry.

formation energy from the elements = -0.11 eV/atom

abc: 6.6816 6.6816 6.6816
angles: 90.00 90.00 90.00
Space group F-43m (No. 216)
One atom of each set of equivalent atoms:
Ca: 0.0000 0.0000 0.0000 x4
In: 0.2500 0.2500 0.7500 x4
Rh: 0.0000 0.0000 0.5000 x4
Rh: 0.2500 0.2500 0.2500 x4

=====

No. 2
The following is a DFT calculation (PBE) of crystalline Li2MgVSb at its relaxed geometry.

uncorrected formation energy = 0.321 eV/atom

abc: 5.0169 5.0169 5.1888
angles: 90.00 90.00 90.00
Space group P4/mmm (No. 123)
One atom of each set of equivalent atoms:
Li: 0.0000 0.5000 0.0000 x2
Mg: 0.0000 0.0000 0.5000 x1
V: 0.5000 0.5000 0.5000 x1
Sb: 0.5000 0.5000 0.0000 x1

=====

No. 3
The following is a DFT calculation (PBE) of crystalline LuInAgSn at its relaxed geometry.

formation energy from the elements = -0.14 eV/atom

abc: 7.2687 7.2687 7.2687
angles: 90.00 90.00 90.00
Space group F-43m (No. 216)
One atom of each set of equivalent atoms:
Lu: 0.0000 0.0000 0.0000 x4
In: 0.0000 0.0000 0.5000 x4
Ag: 0.2500 0.2500 0.7500 x4
Sn: 0.2500 0.2500 0.2500 x4

=====

No. 4
The following is a DFT calculation (PBE) of crystalline Mg2SbOs at its relaxed geometry.

uncorrected formation energy = 0.173 eV/atom

abc: 3.2627 3.8681 5.9224
angles: 90.00 90.00 90.00
Space group Pmm2 (No. 25)
One atom of each set of equivalent atoms:
Mg: 0.0000 0.0000 0.0000 x1
Mg: 0.5000 0.5000 0.2567 x1
Sb: 0.5000 0.5000 0.7163 x1
Os: 0.0000 0.0000 0.5018 x1

=====

No. 5
The following is a DFT calculation (PBE) of crystalline AcThZnPb at its relaxed geometry.

formation energy from the elements = -0.18 eV/atom

abc: 7.8743 7.8743 7.8743
angles: 90.00 90.00 90.00
Space group F-43m (No. 216)
One atom of each set of equivalent atoms:
Ac: 0.0000 0.0000 0.0000 x4
Th: 0.0000 0.0000 0.5000 x4
Zn: 0.2500 0.2500 0.2500 x4
Pb: 0.2500 0.2500 0.7500 x4

=====

No. 6
The following is a DFT calculation (PBE) of crystalline KLi2MgP at its relaxed geometry.

formation energy from the elements = -0.20 eV/atom

abc: 5.0310 5.0310 5.2231
angles: 90.00 90.00 90.00
Space group P4/mmm (No. 123)
One atom of each set of equivalent atoms:
K: 0.0000 0.0000 0.0000 x1
Li: 0.0000 0.5000 0.5000 x2
Mg: 0.5000 0.5000 0.0000 x1
P: 0.5000 0.5000 0.5000 x1